[1]
First-principles (meta-GGA SCAN) data for a crystal of NiTe8Mo6 relaxed with PBEsol, as listed in the Alexandria database.

Cell: 7.011 7.054 7.087 Å, 90.58 95.48 89.60°
Fractional coordinates of all 15 atoms:
Mo 0.592 0.442 0.751
Mo 0.246 0.425 0.542
Te 0.585 0.890 0.235
Te 0.793 0.772 0.811
Te 0.265 0.629 0.866
Te 0.738 0.371 0.130
Ni 0.823 0.930 0.505
Te 0.203 0.229 0.210
Te 0.104 0.758 0.371
Mo 0.760 0.569 0.458
Te 0.389 0.118 0.746
Mo 0.550 0.240 0.425
Mo 0.414 0.548 0.243
Mo 0.460 0.764 0.575
Te 0.906 0.249 0.642

Results
Space group: P1
E: -35.16 eV/atom

***

[2]
First-principles (meta-GGA SCAN) data for a crystal of Ti2MnOs relaxed with PBEsol, as listed in the Alexandria database.

Cell: 4.256 4.256 4.256 Å, 60.00 60.00 60.00°
Fractional coordinates of all 4 atoms:
Ti 0.750 0.750 0.750
Os 0.000 0.000 0.000
Mn 0.500 0.500 0.500
Ti 0.250 0.250 0.250

Results
Space group: Fm-3m
Calculated formation energy: -243 kJ/mol of formula units

***

[3]
First-principles (meta-GGA SCAN) data for a crystal of Zr2CrFeOs relaxed with PBEsol, as listed in the Alexandria database.

Cell: 4.443 4.995 4.995 Å, 90.00 90.00 90.00°
Fractional coordinates of all 5 atoms:
Zr 0.000 0.500 0.000
Cr 0.500 0.000 0.000
Os 0.000 0.000 0.000
Zr 0.000 0.000 0.500
Fe 0.500 0.500 0.500

Results
Space group: P4/mmm
Calculated formation energy: 374 kJ/mol of formula units

***

[4]
First-principles (meta-GGA SCAN) data for a crystal of NdSmMg2 relaxed with PBEsol, as listed in the Alexandria database.

Cell: 5.393 5.393 5.393 Å, 60.00 60.00 60.00°
Fractional coordinates of all 4 atoms:
Sm 0.000 0.000 0.000
Nd 0.500 0.500 0.500
Mg 0.250 0.250 0.250
Mg 0.750 0.750 0.750

Results
Space group: Fm-3m
Calculated formation energy: -45 kJ/mol of formula units

***

no.,total magnetic moment (μB per formula unit)
1,0.00
2,0.52
3,5.37
4,0.00